Below is a relaxed LaPrTmMg crystal, with properties calculated at the PBE level.

Values from the calculation:
Calculated formation energy, eV/atom: -0.02

Geometry as CIF:
```
data_LaPrTmMg
_cell_length_a 3.720
_cell_length_b 3.720
_cell_length_c 9.163
_cell_angle_alpha 90.00
_cell_angle_beta 90.00
_cell_angle_gamma 90.00
_space_group_name_H-M_alt 'P 4 m m'
_space_group_IT_number 99
_space_group_name_Hall 'P 4 -2'
loop_
_atom_site_label
_atom_site_type_symbol
_atom_site_fract_x
_atom_site_fract_y
_atom_site_fract_z
_atom_site_occupancy
La1 La 0.000 0.000 0.000 1
Pr1 Pr 0.500 0.500 0.715 1
Tm1 Tm 0.500 0.500 0.266 1
Mg1 Mg 0.000 0.000 0.477 1
```